Record 1
Here is a geometry-optimized CaInGa2 structure from Alexandria via LeMat-Bulk. Energies are from PBE.

## Properties
Magnetization (μB per formula unit): 0.00
Space group: No. 123

Cell and atoms, written as CIF:
```
data_CaInGa2
_chemical_formula_sum 'Ca1 In1 Ga2'
_space_group_name_H-M_alt 'P 1'
_space_group_IT_number 1
_cell_length_a 3.730
_cell_length_b 3.730
_cell_length_c 6.801
_cell_angle_alpha 90.00
_cell_angle_beta 90.00
_cell_angle_gamma 90.00
loop_
_space_group_symop_operation_xyz
'x,y,z'
loop_
_atom_site_label
_atom_site_type_symbol
_atom_site_fract_x
_atom_site_fract_y
_atom_site_fract_z
Ga1 Ga 0.000 0.000 0.788
Ga2 Ga 0.000 0.000 0.212
Ca1 Ca 0.500 0.500 0.500
In1 In 0.500 0.500 0.000
```


Record 2
Here is a geometry-optimized Ca2InGa3 structure from Alexandria via LeMat-Bulk. Energies are from PBE.

## Properties
Magnetization (μB per formula unit): 0.00
Space group: No. 69
Energy above the lowest structure with this stoichiometry (meV per atom): 36

Cell and atoms, written as CIF:
```
data_Ca2InGa3
_chemical_formula_sum 'Ca4 In2 Ga6'
_space_group_name_H-M_alt 'P 1'
_space_group_IT_number 1
_cell_length_a 6.083
_cell_length_b 6.083
_cell_length_c 8.827
_cell_angle_alpha 107.89
_cell_angle_beta 107.89
_cell_angle_gamma 96.22
loop_
_space_group_symop_operation_xyz
'x,y,z'
loop_
_atom_site_label
_atom_site_type_symbol
_atom_site_fract_x
_atom_site_fract_y
_atom_site_fract_z
Ga1 Ga 0.838 0.323 0.161
Ga2 Ga 0.323 0.838 0.161
Ga3 Ga 0.162 0.162 0.323
Ga4 Ga 0.162 0.677 0.839
Ga5 Ga 0.677 0.162 0.839
Ga6 Ga 0.838 0.838 0.677
Ca1 Ca 0.750 0.250 0.500
Ca2 Ca 0.250 0.750 0.500
Ca3 Ca 0.249 0.249 0.000
Ca4 Ca 0.751 0.751 0.000
In1 In 0.666 0.666 0.333
In2 In 0.334 0.334 0.667
```


Record 3
Here is a geometry-optimized CaInGa2 structure from Alexandria via LeMat-Bulk. Energies are from PBE.

## Properties
Magnetization (μB per formula unit): 0.00
Space group: No. 122

Cell and atoms, written as CIF:
```
data_CaInGa2
_chemical_formula_sum 'Ca2 In2 Ga4'
_space_group_name_H-M_alt 'P 1'
_space_group_IT_number 1
_cell_length_a 4.723
_cell_length_b 4.723
_cell_length_c 10.342
_cell_angle_alpha 76.80
_cell_angle_beta 76.80
_cell_angle_gamma 90.00
loop_
_space_group_symop_operation_xyz
'x,y,z'
loop_
_atom_site_label
_atom_site_type_symbol
_atom_site_fract_x
_atom_site_fract_y
_atom_site_fract_z
In1 In 0.000 0.000 0.000
In2 In 0.750 0.250 0.500
Ca1 Ca 0.500 0.500 0.000
Ca2 Ca 0.250 0.750 0.500
Ga1 Ga 0.742 0.125 0.250
Ga2 Ga 0.875 0.992 0.750
Ga3 Ga 0.375 0.258 0.750
Ga4 Ga 0.008 0.625 0.250
```


Record 4
Here is a geometry-optimized CaIn2Ga2 structure from Alexandria via LeMat-Bulk. Energies are from PBE.

## Properties
Magnetization (μB per formula unit): 0.00
Space group: No. 127

Cell and atoms, written as CIF:
```
data_CaIn2Ga2
_chemical_formula_sum 'Ca2 In4 Ga4'
_space_group_name_H-M_alt 'P 1'
_space_group_IT_number 1
_cell_length_a 8.349
_cell_length_b 8.349
_cell_length_c 3.540
_cell_angle_alpha 90.00
_cell_angle_beta 90.00
_cell_angle_gamma 90.00
loop_
_space_group_symop_operation_xyz
'x,y,z'
loop_
_atom_site_label
_atom_site_type_symbol
_atom_site_fract_x
_atom_site_fract_y
_atom_site_fract_z
In1 In 0.871 0.629 0.000
In2 In 0.629 0.129 0.000
In3 In 0.129 0.371 0.000
In4 In 0.371 0.871 0.000
Ga1 Ga 0.170 0.670 0.500
Ga2 Ga 0.330 0.170 0.500
Ga3 Ga 0.670 0.830 0.500
Ga4 Ga 0.830 0.330 0.500
Ca1 Ca 0.500 0.500 0.000
Ca2 Ca 0.000 0.000 0.000
```


Record 5
Here is a geometry-optimized Ca3In2Ga2 structure from Alexandria via LeMat-Bulk. Energies are from PBE.

## Properties
Magnetization (μB per formula unit): 0.00
Space group: No. 12

Cell and atoms, written as CIF:
```
data_Ca3In2Ga2
_chemical_formula_sum 'Ca3 In2 Ga2'
_space_group_name_H-M_alt 'P 1'
_space_group_IT_number 1
_cell_length_a 4.178
_cell_length_b 6.283
_cell_length_c 8.540
_cell_angle_alpha 112.37
_cell_angle_beta 90.00
_cell_angle_gamma 109.42
loop_
_space_group_symop_operation_xyz
'x,y,z'
loop_
_atom_site_label
_atom_site_type_symbol
_atom_site_fract_x
_atom_site_fract_y
_atom_site_fract_z
In1 In 0.033 0.066 0.338
In2 In 0.967 0.934 0.662
Ca1 Ca 0.500 0.000 0.000
Ca2 Ca 0.307 0.615 0.344
Ca3 Ca 0.693 0.385 0.656
Ga1 Ga 0.807 0.614 0.062
Ga2 Ga 0.193 0.386 0.938
```


Record 6
Here is a geometry-optimized Ca3In12Ga structure from Alexandria via LeMat-Bulk. Energies are from PBE.

## Properties
Magnetization (μB per formula unit): 0.00
Space group: No. 123

Cell and atoms, written as CIF:
```
data_Ca3In12Ga
_chemical_formula_sum 'Ca3 In12 Ga1'
_space_group_name_H-M_alt 'P 1'
_space_group_IT_number 1
_cell_length_a 4.710
_cell_length_b 4.710
_cell_length_c 18.817
_cell_angle_alpha 90.00
_cell_angle_beta 90.00
_cell_angle_gamma 90.00
loop_
_space_group_symop_operation_xyz
'x,y,z'
loop_
_atom_site_label
_atom_site_type_symbol
_atom_site_fract_x
_atom_site_fract_y
_atom_site_fract_z
In1 In 0.500 0.500 0.000
In2 In 0.500 0.500 0.747
In3 In 0.000 0.500 0.880
In4 In 0.500 0.000 0.120
In5 In 0.500 0.000 0.626
In6 In 0.000 0.500 0.120
In7 In 0.000 0.500 0.374
In8 In 0.500 0.000 0.880
In9 In 0.500 0.500 0.253
In10 In 0.500 0.000 0.374
In11 In 0.500 0.500 0.500
In12 In 0.000 0.500 0.626
Ca1 Ca 0.000 0.000 0.248
Ca2 Ca 0.000 0.000 0.752
Ca3 Ca 0.000 0.000 0.500
Ga1 Ga 0.000 0.000 0.000
```


Record 7
Here is a geometry-optimized Ca3InGa structure from Alexandria via LeMat-Bulk. Energies are from PBE.

## Properties
Magnetization (μB per formula unit): 0.00
Space group: No. 63
Energy above the lowest structure with this stoichiometry (meV per atom): 0

Cell and atoms, written as CIF:
```
data_Ca3InGa
_chemical_formula_sum 'Ca6 In2 Ga2'
_space_group_name_H-M_alt 'P 1'
_space_group_IT_number 1
_cell_length_a 5.354
_cell_length_b 5.353
_cell_length_c 10.765
_cell_angle_alpha 90.00
_cell_angle_beta 75.60
_cell_angle_gamma 90.00
loop_
_space_group_symop_operation_xyz
'x,y,z'
loop_
_atom_site_label
_atom_site_type_symbol
_atom_site_fract_x
_atom_site_fract_y
_atom_site_fract_z
Ca1 Ca 0.395 0.250 0.858
Ca2 Ca 0.574 0.250 0.500
Ca3 Ca 0.074 0.750 0.500
Ca4 Ca 0.896 0.750 0.857
Ca5 Ca 0.253 0.750 0.142
Ca6 Ca 0.753 0.250 0.143
Ga1 Ga 0.980 0.250 0.689
Ga2 Ga 0.669 0.750 0.311
In1 In 0.481 0.750 0.686
In2 In 0.167 0.250 0.314
```


Record 8
Here is a geometry-optimized Ca5InGa2 structure from Alexandria via LeMat-Bulk. Energies are from PBE.

## Properties
Magnetization (μB per formula unit): 0.00
Space group: No. 140

Cell and atoms, written as CIF:
```
data_Ca5InGa2
_chemical_formula_sum 'Ca10 In2 Ga4'
_space_group_name_H-M_alt 'P 1'
_space_group_IT_number 1
_cell_length_a 8.090
_cell_length_b 8.090
_cell_length_c 9.415
_cell_angle_alpha 115.44
_cell_angle_beta 115.44
_cell_angle_gamma 90.00
loop_
_space_group_symop_operation_xyz
'x,y,z'
loop_
_atom_site_label
_atom_site_type_symbol
_atom_site_fract_x
_atom_site_fract_y
_atom_site_fract_z
Ga1 Ga 0.389 0.889 0.000
Ga2 Ga 0.611 0.111 0.000
Ga3 Ga 0.111 0.389 0.000
Ga4 Ga 0.889 0.611 0.000
Ca1 Ca 0.318 0.818 0.282
Ca2 Ca 0.036 0.536 0.718
Ca3 Ca 0.682 0.182 0.718
Ca4 Ca 0.182 0.036 0.718
Ca5 Ca 0.464 0.318 0.282
Ca6 Ca 0.500 0.500 0.000
Ca7 Ca 0.964 0.464 0.282
Ca8 Ca 0.000 0.000 0.000
Ca9 Ca 0.818 0.964 0.282
Ca10 Ca 0.536 0.682 0.718
In1 In 0.750 0.750 0.500
In2 In 0.250 0.250 0.500
```


Record 9
Here is a geometry-optimized Ca2In5Ga structure from Alexandria via LeMat-Bulk. Energies are from PBE.

## Properties
Magnetization (μB per formula unit): 0.00
Space group: No. 107

Cell and atoms, written as CIF:
```
data_Ca2In5Ga
_chemical_formula_sum 'Ca2 In5 Ga1'
_space_group_name_H-M_alt 'P 1'
_space_group_IT_number 1
_cell_length_a 6.627
_cell_length_b 6.627
_cell_length_c 6.627
_cell_angle_alpha 89.14
_cell_angle_beta 120.49
_cell_angle_gamma 120.49
loop_
_space_group_symop_operation_xyz
'x,y,z'
loop_
_atom_site_label
_atom_site_type_symbol
_atom_site_fract_x
_atom_site_fract_y
_atom_site_fract_z
In1 In 0.000 0.280 0.280
In2 In 0.498 0.277 0.277
In3 In 0.000 0.779 0.277
In4 In 0.502 0.779 0.779
In5 In 0.000 0.277 0.779
Ca1 Ca 0.500 0.778 0.278
Ca2 Ca 0.500 0.278 0.778
Ga1 Ga 0.000 0.774 0.774
```


Record 10
Here is a geometry-optimized Ca2In9Ga structure from Alexandria via LeMat-Bulk. Energies are from PBE.

## Properties
Magnetization (μB per formula unit): 0.00
Space group: No. 123

Cell and atoms, written as CIF:
```
data_Ca2In9Ga
_chemical_formula_sum 'Ca2 In9 Ga1'
_space_group_name_H-M_alt 'P 1'
_space_group_IT_number 1
_cell_length_a 4.700
_cell_length_b 4.700
_cell_length_c 14.139
_cell_angle_alpha 90.00
_cell_angle_beta 90.00
_cell_angle_gamma 90.00
loop_
_space_group_symop_operation_xyz
'x,y,z'
loop_
_atom_site_label
_atom_site_type_symbol
_atom_site_fract_x
_atom_site_fract_y
_atom_site_fract_z
In1 In 0.500 0.500 0.338
In2 In 0.000 0.500 0.839
In3 In 0.500 0.000 0.839
In4 In 0.500 0.500 0.662
In5 In 0.000 0.500 0.161
In6 In 0.500 0.000 0.161
In7 In 0.500 0.000 0.500
In8 In 0.000 0.500 0.500
In9 In 0.500 0.500 0.000
Ca1 Ca 0.000 0.000 0.332
Ca2 Ca 0.000 0.000 0.668
Ga1 Ga 0.000 0.000 0.000
```


Record 11
Here is a geometry-optimized CaInGa structure from Alexandria via LeMat-Bulk. Energies are from PBE.

## Properties
Magnetization (μB per formula unit): 0.00
Space group: No. 12

Cell and atoms, written as CIF:
```
data_CaInGa
_chemical_formula_sum 'Ca2 In2 Ga2'
_space_group_name_H-M_alt 'P 1'
_space_group_IT_number 1
_cell_length_a 4.621
_cell_length_b 6.009
_cell_length_c 6.277
_cell_angle_alpha 75.63
_cell_angle_beta 68.40
_cell_angle_gamma 67.39
loop_
_space_group_symop_operation_xyz
'x,y,z'
loop_
_atom_site_label
_atom_site_type_symbol
_atom_site_fract_x
_atom_site_fract_y
_atom_site_fract_z
Ga1 Ga 0.150 0.384 0.317
Ga2 Ga 0.850 0.616 0.683
Ca1 Ca 0.558 0.197 0.686
Ca2 Ca 0.442 0.803 0.314
In1 In 0.830 0.247 0.093
In2 In 0.170 0.753 0.907
```


Record 12
Here is a geometry-optimized CaInGa structure from Alexandria via LeMat-Bulk. Energies are from PBE.

## Properties
Magnetization (μB per formula unit): 0.00
Space group: No. 156

Cell and atoms, written as CIF:
```
data_CaInGa
_chemical_formula_sum 'Ca1 In1 Ga1'
_space_group_name_H-M_alt 'P 1'
_space_group_IT_number 1
_cell_length_a 3.749
_cell_length_b 4.779
_cell_length_c 4.779
_cell_angle_alpha 120.00
_cell_angle_beta 90.00
_cell_angle_gamma 90.00
loop_
_space_group_symop_operation_xyz
'x,y,z'
loop_
_atom_site_label
_atom_site_type_symbol
_atom_site_fract_x
_atom_site_fract_y
_atom_site_fract_z
Ca1 Ca 0.669 0.667 0.333
Ga1 Ga 0.159 0.000 0.000
In1 In 0.172 0.333 0.667
```


Number 1: E_form -0.23 eV per atom, E_tot -2.931 eV/atom. Number 2: E_form -0.43 eV per atom, E_tot -3.063 eV/atom. Number 3: E_form -0.08 eV per atom, E_tot -2.780 eV/atom. Number 4: E_form -0.13 eV per atom, E_tot -2.833 eV/atom. Number 5: E_form -0.45 eV per atom, E_tot -2.957 eV/atom. Number 6: E_form -0.22 eV per atom, E_tot -2.842 eV/atom. Number 7: E_form -0.37 eV per atom, E_tot -2.726 eV/atom. Number 8: E_form -0.40 eV per atom, E_tot -2.753 eV/atom. Number 9: E_form -0.31 eV per atom, E_tot -2.897 eV/atom. Number 10: E_form -0.19 eV per atom, E_tot -2.832 eV/atom. Number 11: E_form -0.44 eV per atom, E_tot -3.029 eV/atom. Number 12: E_form -0.40 eV per atom, E_tot -2.986 eV/atom.